# GGA-PBE Co2BIr2, optimized geometry
data_Co2BIr2
_symmetry_space_group_name_H-M 'P 4/m b m'
_symmetry_Int_Tables_number 127
_symmetry_space_group_name_Hall '-P 4 2ab'
_cell_length_a 5.221
_cell_length_b 5.221
_cell_length_c 4.252
_cell_angle_alpha 90.00
_cell_angle_beta 90.00
_cell_angle_gamma 90.00
loop_
_atom_site_label
_atom_site_type_symbol
_atom_site_fract_x
_atom_site_fract_y
_atom_site_fract_z
Co1 Co 0.155 0.345 0.000
B1 B 0.000 0.000 0.000
Ir1 Ir 0.173 0.673 0.500
# VASP energy: -7.56 eV per atom
# E_form: 0.165 eV/atom
# Fermi-level density of states: 12.3 states/eV per cell
# offset from the most stable computed form: 0 meV/atom

# GGA-PBE CoBIr, optimized geometry
data_CoBIr
_symmetry_space_group_name_H-M 'I 4 m m'
_symmetry_Int_Tables_number 107
_symmetry_space_group_name_Hall 'I 4 -2'
_cell_length_a 3.198
_cell_length_b 3.198
_cell_length_c 6.564
_cell_angle_alpha 90.00
_cell_angle_beta 90.00
_cell_angle_gamma 90.00
loop_
_atom_site_label
_atom_site_type_symbol
_atom_site_fract_x
_atom_site_fract_y
_atom_site_fract_z
Co1 Co 0.000 0.000 0.000
B1 B 0.000 0.000 0.317
Ir1 Ir 0.000 0.000 0.647
# VASP energy: -7.01 eV per atom
# E_form: 0.541 eV/atom
# Fermi-level density of states: 5.3 states/eV per cell

# GGA-PBE CoB3Ir, optimized geometry
data_CoB3Ir
_symmetry_space_group_name_H-M 'P m -3 m'
_symmetry_Int_Tables_number 221
_symmetry_space_group_name_Hall '-P 4 2 3'
_cell_length_a 3.701
_cell_length_b 3.701
_cell_length_c 3.701
_cell_angle_alpha 90.00
_cell_angle_beta 90.00
_cell_angle_gamma 90.00
loop_
_atom_site_label
_atom_site_type_symbol
_atom_site_fract_x
_atom_site_fract_y
_atom_site_fract_z
Co1 Co 0.000 0.000 0.000
B1 B 0.000 0.000 0.500
Ir1 Ir 0.500 0.500 0.500
# VASP energy: -6.12 eV per atom
# E_form: 1.082 eV/atom
# Fermi-level density of states: 4.8 states/eV per cell
# offset from the most stable computed form: 0 meV/atom

# GGA-PBE CoBIr2, optimized geometry
data_CoBIr2
_symmetry_space_group_name_H-M 'I -4 2 d'
_symmetry_Int_Tables_number 122
_symmetry_space_group_name_Hall 'I -4 2bw'
_cell_length_a 4.996
_cell_length_b 4.996
_cell_length_c 10.021
_cell_angle_alpha 90.00
_cell_angle_beta 90.00
_cell_angle_gamma 90.00
loop_
_atom_site_label
_atom_site_type_symbol
_atom_site_fract_x
_atom_site_fract_y
_atom_site_fract_z
Co1 Co 0.000 0.000 0.000
B1 B 0.000 0.000 0.500
Ir1 Ir 0.198 0.250 0.625
# VASP energy: -7.24 eV per atom
# E_form: 0.633 eV/atom
# Fermi-level density of states: 16.8 states/eV per cell

Among the records above, which one has the highest VASP energy?
CoB3Ir